Record 1
This record from Alexandria via LeMat-Bulk describes TbGaRh2 after structural relaxation. The functional is PBE.

Structure (POSCAR):
```
TbGaRh2
1.0
3.2312 -3.2405 0.0000
3.2312 3.2405 0.0000
-3.2231 0.0000 3.2372
Tb Ga Rh
1 1 2
Cartesian
0.0000 0.0000 0.0000 Tb
3.2312 0.0000 0.0000 Ga
1.6197 1.6175 1.6186 Rh
1.6197 -1.6175 1.6186 Rh
```

Output
Calculated formation energy in kcal/mol of atoms: -18.5
Space-group type: C2/m (12)



Record 2
This record from Alexandria via LeMat-Bulk describes ZrCF3 after structural relaxation. The functional is PBE.

Structure (POSCAR):
```
ZrCF3
1.0
3.9627 0.0000 0.0000
0.0000 3.9627 0.0000
0.0000 0.0000 3.9627
Zr C F
1 1 3
Cartesian
0.0000 0.0000 0.0000 Zr
1.9814 1.9814 1.9814 C
0.0000 1.9814 1.9814 F
1.9814 0.0000 1.9814 F
1.9814 1.9814 0.0000 F
```

Output
E above lowest polymorph in meV/atom: 1292
E_form (uncorrected) in kJ/mol of formula units: 6
Space-group type: Pm-3m (221)



Record 3
This record from Alexandria via LeMat-Bulk describes SnPb2Au4 after structural relaxation. The functional is PBE.

Structure (POSCAR):
```
SnPb2Au4
1.0
5.3663 0.0000 0.0000
2.5906 4.9942 0.0000
2.5416 0.2622 6.9038
Sn Pb Au
1 2 4
Cartesian
0.0000 0.0000 0.0000 Sn
3.8854 2.5773 2.0457 Pb
6.6131 2.6790 4.8582 Pb
1.2953 2.4971 0.0000 Au
3.9185 4.2284 4.4718 Au
2.6832 0.0000 0.0000 Au
6.5800 1.0279 2.4320 Au
```

Output
Calculated formation energy in kcal/mol of atoms: 0.0
Space-group type: P-1 (2)



Record 4
This record from Alexandria via LeMat-Bulk describes Ca2TlCo after structural relaxation. The functional is PBE.

Structure (POSCAR):
```
Ca2TlCo
1.0
0.0000 3.5812 3.5812
3.5812 0.0000 3.5812
3.5812 3.5812 0.0000
Ca Tl Co
2 1 1
Cartesian
0.0000 0.0000 0.0000 Ca
1.7906 1.7906 1.7906 Ca
5.3717 5.3717 5.3717 Tl
3.5812 3.5812 3.5812 Co
```

Output
Calculated formation energy in kcal/mol of atoms: 4.8
Space-group type: F-43m (216)



Record 5
This record from Alexandria via LeMat-Bulk describes CaTlRh2 after structural relaxation. The functional is PBE.

Structure (POSCAR):
```
CaTlRh2
1.0
3.4077 0.0000 0.0000
0.0000 3.3810 0.0000
-0.0072 0.0000 6.6266
Ca Tl Rh
1 1 2
Cartesian
0.0000 0.0000 0.0000 Ca
-0.0036 0.0000 3.3133 Tl
1.7020 1.6905 1.7991 Rh
1.6984 1.6905 4.8275 Rh
```

Output
Calculated formation energy in kcal/mol of atoms: -3.6
Space-group type: P2/m (10)



Record 6
This record from Alexandria via LeMat-Bulk describes Ho2Zn2Hg3 after structural relaxation. The functional is PBE.

Structure (POSCAR):
```
Ho2Zn2Hg3
1.0
2.1854 -10.1001 0.0000
2.1854 10.1001 0.0000
0.0000 0.0000 3.6089
Ho Zn Hg
2 2 3
Cartesian
2.1854 6.8452 0.0000 Ho
2.1854 -6.8452 0.0000 Ho
2.1854 4.4226 1.8045 Zn
2.1854 -4.4226 1.8045 Zn
0.0000 0.0000 0.0000 Hg
2.1854 1.5855 1.8045 Hg
2.1854 -1.5855 1.8045 Hg
```

Output
Calculated formation energy in kcal/mol of atoms: -6.2
Space-group type: Cmmm (65)



Record 7
This record from Alexandria via LeMat-Bulk describes CoCSe2 after structural relaxation. The functional is PBE.

Structure (POSCAR):
```
CoCSe2
1.0
1.8285 1.0557 5.9373
-1.8285 1.0557 5.9373
0.0000 -2.1113 5.9373
Co C Se
1 1 2
Cartesian
0.0000 0.0000 0.0000 Co
0.0000 0.0000 8.9059 C
0.0000 0.0000 7.1462 Se
0.0000 0.0000 10.6657 Se
```

Output
E_form (uncorrected) in kJ/mol of formula units: 315
Space-group type: R-3m (166)



Record 8
This record from Alexandria via LeMat-Bulk describes KBaGaC2 after structural relaxation. The functional is PBE.

Structure (POSCAR):
```
KBaGaC2
1.0
4.3968 0.0000 0.0000
0.0000 4.3968 0.0000
0.0000 0.0000 5.5253
K Ba Ga C
1 1 1 2
Cartesian
0.0000 0.0000 0.0000 K
2.1984 2.1984 0.0000 Ba
2.1984 2.1984 2.7627 Ga
0.0000 2.1984 2.7627 C
2.1984 0.0000 2.7627 C
```

Output
Calculated formation energy in kcal/mol of atoms: 42.4
Space-group type: P4/mmm (123)